Record 1
CaSi2SnO6: optimized geometry, GGA-PBEsol.

Cell lengths 5.4727, 20.4146, 9.3966 Å; angles 90.00, 90.00, 90.00 degrees
Last column: nearest neighbours and their distance in Å.
Element x y z (fractional)
1 Ca 0.1281 0.1248 0.1452  6 O 2.24-2.44
2 Ca 0.1281 0.3752 0.6452  6 O 2.24-2.44
3 Ca 0.3719 0.6248 0.1452  6 O 2.24-2.44
4 Ca 0.3719 0.8752 0.6452  6 O 2.24-2.44
5 Ca 0.6281 0.1248 0.3548  6 O 2.24-2.44
6 Ca 0.6281 0.3752 0.8548  6 O 2.24-2.44
7 Ca 0.8719 0.6248 0.3548  6 O 2.24-2.44
8 Ca 0.8719 0.8752 0.8548  6 O 2.24-2.44
9 Si 0.0055 0.2389 0.8418  4 O 1.61-1.67
10 Si 0.0055 0.2611 0.3418  4 O 1.61-1.67
11 Si 0.2349 0.0115 0.8412  4 O 1.61-1.67
12 Si 0.2349 0.4885 0.3412  4 O 1.61-1.67
13 Si 0.2651 0.5115 0.8412  4 O 1.61-1.67
14 Si 0.2651 0.9885 0.3412  4 O 1.61-1.67
15 Si 0.4945 0.7389 0.8418  4 O 1.61-1.67
16 Si 0.4945 0.7611 0.3418  4 O 1.61-1.67
17 Si 0.5055 0.2389 0.6582  4 O 1.61-1.67
18 Si 0.5055 0.2611 0.1582  4 O 1.61-1.67
19 Si 0.7349 0.0115 0.6588  4 O 1.61-1.67
20 Si 0.7349 0.4885 0.1588  4 O 1.61-1.67
21 Si 0.7651 0.5115 0.6588  4 O 1.61-1.67
22 Si 0.7651 0.9885 0.1588  4 O 1.61-1.67
23 Si 0.9945 0.7389 0.6582  4 O 1.61-1.67
24 Si 0.9945 0.7611 0.1582  4 O 1.61-1.67
25 Sn 0.1279 0.1243 0.5519  4 O 2.25-2.40
26 Sn 0.1279 0.3757 0.0519  4 O 2.25-2.40
27 Sn 0.3721 0.6243 0.5519  4 O 2.25-2.40
28 Sn 0.3721 0.8757 0.0519  4 O 2.25-2.40
29 Sn 0.6279 0.1243 0.9481  4 O 2.25-2.40
30 Sn 0.6279 0.3757 0.4481  4 O 2.25-2.40
31 Sn 0.8721 0.6243 0.9481  4 O 2.25-2.40
32 Sn 0.8721 0.8757 0.4481  4 O 2.25-2.40
33 O 0.0062 0.6810 0.1388  1 Si 1.65
34 O 0.0062 0.8190 0.6388  1 Si 1.65
35 O 0.0258 0.6944 0.5176  1 Si 1.61
36 O 0.0258 0.8056 0.0176  1 Si 1.61
37 O 0.0371 0.5287 0.7291  2 Si 1.67
38 O 0.0371 0.9713 0.2291  2 Si 1.67
39 O 0.2237 0.5554 0.9814  1 Si 1.61
40 O 0.2237 0.9446 0.4814  1 Si 1.61
41 O 0.2308 0.7212 0.7638  2 Si 1.66-1.67
42 O 0.2308 0.7788 0.2638  2 Si 1.66-1.67
43 O 0.2364 0.5688 0.3605  1 Si 1.65
44 O 0.2364 0.9312 0.8605  1 Si 1.65
45 O 0.2636 0.0688 0.3605  1 Si 1.65
46 O 0.2636 0.4312 0.8605  1 Si 1.65
47 O 0.2692 0.2212 0.7638  2 Si 1.66-1.67
48 O 0.2692 0.2788 0.2638  2 Si 1.66-1.67
49 O 0.2763 0.0554 0.9814  1 Si 1.61
50 O 0.2763 0.4446 0.4814  1 Si 1.61
51 O 0.4629 0.0287 0.7291  2 Si 1.67
52 O 0.4629 0.4713 0.2291  2 Si 1.67
53 O 0.4742 0.1944 0.5176  1 Si 1.61
54 O 0.4742 0.3056 0.0176  1 Si 1.61
55 O 0.4938 0.1810 0.1388  1 Si 1.65
56 O 0.4938 0.3190 0.6388  1 Si 1.65
57 O 0.5062 0.6810 0.3612  1 Si 1.65
58 O 0.5062 0.8190 0.8612  1 Si 1.65
59 O 0.5258 0.6944 0.9824  1 Si 1.61
60 O 0.5258 0.8056 0.4824  1 Si 1.61
61 O 0.5371 0.5287 0.7709  2 Si 1.67
62 O 0.5371 0.9713 0.2709  2 Si 1.67
63 O 0.7237 0.5554 0.5186  1 Si 1.61
64 O 0.7237 0.9446 0.0186  1 Si 1.61
65 O 0.7308 0.7212 0.7362  2 Si 1.66-1.67
66 O 0.7308 0.7788 0.2362  2 Si 1.66-1.67
67 O 0.7364 0.5688 0.1395  1 Si 1.65
68 O 0.7364 0.9312 0.6395  1 Si 1.65
69 O 0.7636 0.0688 0.1395  1 Si 1.65
70 O 0.7636 0.4312 0.6395  1 Si 1.65
71 O 0.7692 0.2212 0.7362  2 Si 1.66-1.67
72 O 0.7692 0.2788 0.2362  2 Si 1.66-1.67
73 O 0.7763 0.0554 0.5186  1 Si 1.61
74 O 0.7763 0.4446 0.0186  1 Si 1.61
75 O 0.9629 0.0287 0.7709  2 Si 1.67
76 O 0.9629 0.4713 0.2709  2 Si 1.67
77 O 0.9742 0.1944 0.9824  1 Si 1.61
78 O 0.9742 0.3056 0.4824  1 Si 1.61
79 O 0.9938 0.1810 0.3612  1 Si 1.65
80 O 0.9938 0.3190 0.8612  1 Si 1.65

Results
Symmetry ... Pbca (61)
DOS at the Fermi energy ... 0.000 states/eV per cell
Energy above the most stable polymorph in this dataset ... 0 meV per atom
V ... 13.123 A^3/atom
Crystal system ... orthorhombic
E_form (uncorrected) ... -2.565 eV/atom
Spin magnetization ... 0.0 μB per formula unit
VASP energy ... -7.50 eV per atom

---

Record 2
ZrWIN2: optimized geometry, GGA-PBEsol.

Cell lengths 4.1372, 4.1372, 5.8122 Å; angles 90.00, 90.00, 90.00 degrees
Last column: nearest neighbours and their distance in Å.
Element x y z (fractional)
1 Zr 0.0000 0.0000 0.0000  4 N 2.07
2 W 0.5000 0.5000 0.5000  4 I 2.93
3 I 0.0000 0.0000 0.5000  2 Zr 2.91, 4 W 2.93
4 N 0.0000 0.5000 0.0000  2 Zr 2.07
5 N 0.5000 0.0000 0.0000  2 Zr 2.07

Results
Symmetry ... P4/mmm (123)
DOS at the Fermi energy ... 4.366 states/eV per cell
V ... 19.897 A^3/atom
Crystal system ... tetragonal
E_form (uncorrected) ... 1.328 eV/atom
Spin magnetization ... 3.3 μB per formula unit
VASP energy ... -7.02 eV per atom

---

Record 3
Lu2B6Os: optimized geometry, GGA-PBEsol.

Cell lengths 8.9699, 11.3194, 3.5556 Å; angles 90.00, 90.00, 90.00 degrees
Last column: nearest neighbours and their distance in Å.
Element x y z (fractional)
1 Lu 0.0564 0.1268 0.0000  12 B 2.53-2.56, 2 Os 2.80-2.81
2 Lu 0.1797 0.4140 0.0000  14 B 2.65-2.75
3 Lu 0.3203 0.9140 0.0000  14 B 2.65-2.75
4 Lu 0.4436 0.6268 0.0000  12 B 2.53-2.56, 2 Os 2.80-2.81
5 Lu 0.5564 0.3732 0.0000  12 B 2.53-2.56, 2 Os 2.80-2.81
6 Lu 0.6797 0.0860 0.0000  14 B 2.65-2.75
7 Lu 0.8203 0.5860 0.0000  14 B 2.65-2.75
8 Lu 0.9436 0.8732 0.0000  12 B 2.53-2.56, 2 Os 2.80-2.81
9 B 0.0191 0.2871 0.5000  3 B 1.78-1.80
10 B 0.0532 0.5660 0.5000  3 B 1.77-1.78
11 B 0.1052 0.9709 0.5000  2 B 1.77-1.79
12 B 0.1304 0.8158 0.5000  3 B 1.72-1.78
13 B 0.2082 0.2343 0.5000  3 B 1.72-1.80
14 B 0.2494 0.5792 0.5000  3 B 1.77-1.80
15 B 0.2506 0.0792 0.5000  3 B 1.77-1.80
16 B 0.2918 0.7343 0.5000  3 B 1.72-1.80
17 B 0.3696 0.3158 0.5000  3 B 1.72-1.78
18 B 0.3948 0.4709 0.5000  2 B 1.77-1.79
19 B 0.4468 0.0660 0.5000  3 B 1.77-1.78
20 B 0.4809 0.7871 0.5000  3 B 1.78-1.80
21 B 0.5191 0.2129 0.5000  3 B 1.78-1.80
22 B 0.5532 0.9340 0.5000  3 B 1.77-1.78
23 B 0.6052 0.5291 0.5000  2 B 1.77-1.79
24 B 0.6304 0.6842 0.5000  3 B 1.72-1.78
25 B 0.7082 0.2657 0.5000  3 B 1.72-1.80
26 B 0.7494 0.9208 0.5000  3 B 1.77-1.80
27 B 0.7506 0.4208 0.5000  3 B 1.77-1.80
28 B 0.7918 0.7657 0.5000  3 B 1.72-1.80
29 B 0.8696 0.1842 0.5000  3 B 1.72-1.78
30 B 0.8948 0.0291 0.5000  2 B 1.77-1.79
31 B 0.9468 0.4340 0.5000  3 B 1.77-1.78
32 B 0.9809 0.7129 0.5000  3 B 1.78-1.80
33 Os 0.1373 0.6789 0.0000  10 B 2.30-2.36
34 Os 0.3627 0.1789 0.0000  10 B 2.30-2.36
35 Os 0.6373 0.8211 0.0000  10 B 2.30-2.36
36 Os 0.8627 0.3211 0.0000  10 B 2.30-2.36

Results
Symmetry ... Pbam (55)
DOS at the Fermi energy ... 3.220 states/eV per cell
V ... 10.028 A^3/atom
Crystal system ... orthorhombic
Formation energy ... -790 meV per atom
Spin magnetization ... 0.0 μB per formula unit
VASP energy ... -7.91 eV per atom

---

Record 4
LiVBO4: optimized geometry, GGA-PBEsol.

Cell lengths 8.1956, 4.7764, 8.0326 Å; angles 90.00, 106.61, 90.00 degrees
Last column: nearest neighbours and their distance in Å.
Element x y z (fractional)
1 Li 0.0000 0.1700 0.0000  4 O 1.93-2.09
2 Li 0.0000 0.8300 0.5000  4 O 1.93-2.09
3 Li 0.4958 0.3142 0.3797  4 O 1.95-2.00
4 Li 0.4958 0.6858 0.8797  4 O 1.95-2.00
5 V 0.2470 0.1804 0.7608  4 O 1.77-1.80
6 V 0.2470 0.8196 0.2608  4 O 1.77-1.80
7 V 0.7449 0.3235 0.1400  4 O 1.78-1.81
8 V 0.7449 0.6765 0.6400  4 O 1.78-1.81
9 B 0.1205 0.3140 0.3770  4 O 1.47-1.49
10 B 0.1205 0.6860 0.8770  4 O 1.47-1.49
11 B 0.6229 0.1909 0.7703  4 O 1.46-1.49
12 B 0.6229 0.8091 0.2703  4 O 1.46-1.49
13 O 0.1127 0.1977 0.5437  1 B 1.47
14 O 0.1127 0.8023 0.0437  1 B 1.47
15 O 0.1460 0.3823 0.8912  1 B 1.47
16 O 0.1460 0.6177 0.3912  1 B 1.47
17 O 0.2616 0.1827 0.3222  1 B 1.49
18 O 0.2616 0.8173 0.8222  1 B 1.49
19 O 0.4632 0.2835 0.8082  1 B 1.49
20 O 0.4632 0.7165 0.3082  1 B 1.49
21 O 0.6200 0.1114 0.2420  1 B 1.46
22 O 0.6200 0.8886 0.7420  1 B 1.46
23 O 0.6422 0.3412 0.6177  1 B 1.47
24 O 0.6422 0.6588 0.1177  1 B 1.47
25 O 0.7632 0.2731 0.9228  1 B 1.47
26 O 0.7632 0.7269 0.4228  1 B 1.47
27 O 0.9619 0.2398 0.2435  1 B 1.47
28 O 0.9619 0.7602 0.7435  1 B 1.47

Results
Symmetry ... Pc (7)
DOS at the Fermi energy ... 11.094 states/eV per cell
Energy above the most stable polymorph in this dataset ... 1 meV per atom
V ... 10.762 A^3/atom
Crystal system ... monoclinic
E_form (uncorrected) ... -2.304 eV/atom
Spin magnetization ... 1.0 μB per formula unit
VASP energy ... -7.96 eV per atom

---

Record 5
Zn2ReP: optimized geometry, GGA-PBEsol.

Cell lengths 4.9659, 4.9659, 4.9659 Å; angles 138.38, 138.38, 60.33 degrees
Last column: nearest neighbours and their distance in Å.
Element x y z (fractional)
1 Zn 0.2500 0.7500 0.5000  4 Zn 2.50, 4 P 2.78, 4 Re 2.78
2 Zn 0.7500 0.2500 0.5000  4 Zn 2.50, 4 P 2.78, 4 Re 2.78
3 Re 0.0000 0.0000 0.0000  4 P 2.50, 8 Zn 2.78
4 P 0.5000 0.5000 0.0000  4 Re 2.50, 8 Zn 2.78

Results
Symmetry ... I4/mmm (139)
DOS at the Fermi energy ... 2.210 states/eV per cell
V ... 13.366 A^3/atom
Crystal system ... tetragonal
Formation energy ... 201 meV per atom
Spin magnetization ... 0.0 μB per formula unit
VASP energy ... -5.37 eV per atom

---

Record 6
HfSbTe2Rh: optimized geometry, GGA-PBEsol.

Cell lengths 5.3563, 5.3563, 5.3909 Å; angles 90.00, 90.00, 90.00 degrees
Last column: nearest neighbours and their distance in Å.
Element x y z (fractional)
1 Hf 0.0000 0.0000 0.0000  4 Te 2.68, 2 Sb 2.70
2 Sb 0.0000 0.0000 0.5000  2 Hf 2.70
3 Te 0.0000 0.5000 0.0000  2 Hf 2.68
4 Te 0.5000 0.0000 0.0000  2 Hf 2.68
5 Rh 0.5000 0.5000 0.5000  4 Sb 3.79, 8 Te 3.80

Results
Symmetry ... P4/mmm (123)
DOS at the Fermi energy ... 6.522 states/eV per cell
V ... 30.933 A^3/atom
Crystal system ... tetragonal
E_form (uncorrected) ... 0.823 eV/atom
Spin magnetization ... 1.0 μB per formula unit
VASP energy ... -5.23 eV per atom

---

Record 7
BaCa2Mg: optimized geometry, GGA-PBEsol.

Cell lengths 6.0245, 6.0245, 6.0245 Å; angles 60.00, 60.00, 60.00 degrees
Last column: nearest neighbours and their distance in Å.
Element x y z (fractional)
1 Ba 0.0000 0.0000 0.0000  4 Ca 3.69, 4 Mg 3.69
2 Ca 0.5000 0.5000 0.5000  4 Ca 3.69, 4 Mg 3.69
3 Ca 0.7500 0.7500 0.7500  4 Ba 3.69, 4 Ca 3.69
4 Mg 0.2500 0.2500 0.2500  4 Ba 3.69, 4 Ca 3.69

Results
Symmetry ... F-43m (216)
DOS at the Fermi energy ... 3.566 states/eV per cell
V ... 38.654 A^3/atom
Crystal system ... cubic
Formation energy ... 2 meV per atom
Spin magnetization ... 0.0 μB per formula unit
VASP energy ... -2.03 eV per atom

---

Record 8
AlRu2Pb: optimized geometry, GGA-PBEsol.

Cell lengths 5.0873, 5.0873, 4.5836 Å; angles 109.02, 109.02, 34.67 degrees
Last column: nearest neighbours and their distance in Å.
Element x y z (fractional)
1 Al 0.0000 0.0000 0.0000  7 Ru 2.69-2.79, 1 Pb 2.91
2 Ru 0.4777 0.4777 0.4928  3 Pb 2.66-2.76, 4 Al 2.72-2.79, 2 Ru 2.79
3 Ru 0.7450 0.7450 0.1105  3 Al 2.69-2.72, 4 Pb 2.71-2.79, 2 Ru 2.79
4 Pb 0.2277 0.2277 0.6088  7 Ru 2.66-2.79, 1 Al 2.91

Results
Symmetry ... Cm (8)
DOS at the Fermi energy ... 2.587 states/eV per cell
Energy above the most stable polymorph in this dataset ... 0 meV per atom
V ... 15.857 A^3/atom
Crystal system ... monoclinic
Formation energy ... 148 meV per atom
Spin magnetization ... 0.0 μB per formula unit
VASP energy ... -6.96 eV per atom